Entry 1:
Compound: YCoPd2
Source: OQMD
Functional: PBE-GGA
Structure: relaxed

```
YCoPd2
1.0
0.000 3.221 3.221
3.221 0.000 3.221
3.221 3.221 0.000
Co Pd Y
1 2 1
Cartesian
1.610 1.610 1.610 Co
0.000 0.000 0.000 Pd
4.831 4.831 4.831 Pd
3.221 3.221 3.221 Y
```

Properties
M_tot in μB per atom: 0.3108
Space group: F-43m
DFT total energy in eV per formula unit: -25.02
Distance to the lowest polymorph of the same formula in eV per formula unit: 0.01


Entry 2:
Compound: YCoPd
Source: OQMD
Functional: PBE-GGA
Structure: relaxed

```
YCoPd
1.0
-2.282 -3.290 -1.938
-4.390 0.391 -0.601
-1.644 0.546 -4.097
Co Pd Y
1 1 1
Cartesian
-2.079 -0.588 -1.659 Co
0.000 0.000 0.000 Pd
-6.237 -1.765 -4.977 Y
```

Properties
M_tot in μB per atom: 0.4973
Space group: F-43m
DFT total energy in eV per formula unit: -18.76


Entry 3:
Compound: Y2CoPd2
Source: OQMD
Functional: PBE-GGA
Structure: relaxed

```
Y2CoPd2
1.0
-2.845 -5.316 3.887
-6.512 -1.437 2.642
4.041 2.034 -5.567
Co Pd Y
1 2 2
Cartesian
0.000 0.000 0.000 Co
-1.741 -3.329 0.792 Pd
-3.575 -1.390 0.170 Pd
-3.699 -2.670 2.581 Y
-5.658 -4.083 3.948 Y
```

Properties
M_tot in μB per atom: 0.2201
Space group: I4/mmm
DFT total energy in eV per formula unit: -30.76


| no. | energy of formation (eV/atom) |
| --- | --- |
| 1 | -0.275 |
| 2 | -0.005 |
| 3 | -0.075 |